1.
Below is LaTiPd2C after structural relaxation, with properties calculated at the GGA-PBEsol level. Values from VASP.

The structure in Quantum ESPRESSO input format:
```
&SYSTEM
  ibrav = 0, nat = 5, ntyp = 4
/
ATOMIC_SPECIES
La 138.91 La.upf
Ti 47.87 Ti.upf
Pd 106.42 Pd.upf
C 12.01 C.upf
ATOMIC_POSITIONS angstrom
La 0.000 0.000 0.000
Ti 2.176 2.176 0.000
Pd 0.000 2.176 2.113
Pd 2.176 0.000 2.113
C 2.176 2.176 2.113
CELL_PARAMETERS angstrom
4.351 0.000 0.000
0.000 4.351 0.000
0.000 0.000 4.227
```

Computed properties:
VASP energy = -36.24 eV per formula unit
E_form = -0.202 eV per atom
D(E_F) = 4.4 states/eV/f.u.
symmetry = P4/mmm

=====

2.
Below is Li2MnCoO4 after structural relaxation, with properties calculated at the GGA-PBEsol level. Values from VASP.

The structure in Quantum ESPRESSO input format:
```
&SYSTEM
  ibrav = 0, nat = 8, ntyp = 4
/
ATOMIC_SPECIES
Li 6.94 Li.upf
Mn 54.94 Mn.upf
Co 58.93 Co.upf
O 16.00 O.upf
ATOMIC_POSITIONS angstrom
Li 0.000 0.000 0.000
Li 0.000 1.985 2.047
Mn 1.985 0.000 2.047
Co 0.000 0.000 4.095
O 1.985 0.000 0.161
O 0.000 0.000 2.173
O 1.985 0.000 3.934
O 0.000 0.000 6.017
CELL_PARAMETERS angstrom
-1.985 1.985 4.095
1.985 -1.985 4.095
1.985 1.985 -4.095
```

Computed properties:
VASP energy = -55.52 eV per formula unit
D(E_F) = 1.9 states/eV/f.u.
symmetry = I-4m2
uncorrected formation energy = -1.636 eV/atom

=====

3.
Below is ZrBe3Ru after structural relaxation, with properties calculated at the GGA-PBEsol level. Values from VASP.

The structure in Quantum ESPRESSO input format:
```
&SYSTEM
  ibrav = 0, nat = 5, ntyp = 3
/
ATOMIC_SPECIES
Zr 91.22 Zr.upf
Be 9.01 Be.upf
Ru 101.07 Ru.upf
ATOMIC_POSITIONS angstrom
Zr 0.000 0.000 0.000
Be 0.000 0.000 2.136
Be 0.000 2.136 0.000
Be 2.136 0.000 0.000
Ru 2.136 2.136 2.136
CELL_PARAMETERS angstrom
4.272 0.000 0.000
0.000 4.272 0.000
0.000 0.000 4.272
```

Computed properties:
VASP energy = -20.50 eV per formula unit
E_form = 2.152 eV per atom
D(E_F) = 5.5 states/eV/f.u.
symmetry = Pm-3m